This record from Alexandria via LeMat-Bulk describes BaHo4Mn3O12 after structural relaxation. The functional is PBE+U.

DOS(E_F) (states/eV/atom): 0.60
Energy (eV for the cell shown): -307.89

Lattice parameters (Å, degrees): 8.2087 8.2087 8.2087 90.00 90.00 90.00
With the nearest neighbours (Å) after each atom.
Space group Im-3 (No. 204)
One atom of each set of equivalent atoms:
Ba1 0.0000 0.0000 0.0000 [2 per cell]  12 O 2.97
Ho1 0.2500 0.2500 0.2500 [8 per cell]  6 O 2.27
Mn1 0.0000 0.0000 0.5000 [6 per cell]  4 O 1.94
O1 0.0000 0.1593 0.3246 [24 per cell]  1 Mn 1.94